No. 1
{
  "formula": "TaBeCr",
  "functional": "PBE",
  "state": "relaxed",
  "e_form_ev_per_atom": 0.24,
  "relative_energy_ev_per_atom": 0.356,
  "cell": [[-1.321, 1.321, 5.614], [1.321, -1.321, 5.614], [1.321, 1.321, -5.614]],
  "species": ["Ta", "Be", "Cr"],
  "frac_coords": [[0.000, 0.000, 0.000], [0.663, 0.663, 0.000], [0.300, 0.300, 0.000]]
}

No. 2
{
  "formula": "Cu4Pd5Pt4",
  "functional": "PBE",
  "state": "relaxed",
  "e_form_ev_per_atom": -0.09,
  "cell": [[-4.928, 4.928, 1.945], [4.928, -4.928, 1.945], [4.928, 4.928, -1.945]],
  "species": ["Cu", "Cu", "Cu", "Cu", "Pd", "Pd", "Pd", "Pd", "Pd", "Pt", "Pt", "Pt", "Pt"],
  "frac_coords": [[0.154, 0.769, 0.923], [0.231, 0.154, 0.384], [0.769, 0.846, 0.616], [0.846, 0.231, 0.077], [0.000, 0.000, 0.000], [0.308, 0.544, 0.852], [0.456, 0.308, 0.763], [0.544, 0.692, 0.237], [0.692, 0.456, 0.148], [0.080, 0.381, 0.461], [0.381, 0.920, 0.301], [0.619, 0.080, 0.699], [0.920, 0.619, 0.539]]
}

No. 3
{
  "formula": "SrCaCl2",
  "functional": "PBE",
  "state": "relaxed",
  "raw_formation_energy_ev_per_atom": -1.501,
  "relative_energy_ev_per_atom": 0.187,
  "cell": [[4.227, 0.000, 0.000], [0.000, 4.522, 0.000], [-0.870, 0.000, 6.801]],
  "species": ["Sr", "Ca", "Cl", "Cl"],
  "frac_coords": [[0.000, 0.000, 0.000], [0.500, 0.000, 0.500], [0.331, 0.500, 0.239], [0.669, 0.500, 0.761]]
}

No. 4
{
  "formula": "RbMn3Mo",
  "functional": "PBE",
  "state": "relaxed",
  "e_form_ev_per_atom": 3.14,
  "relative_energy_ev_per_atom": 1.924,
  "cell": [[4.318, 0.000, 0.000], [0.000, 4.318, 0.000], [0.000, 0.000, 4.318]],
  "species": ["Rb", "Mn", "Mn", "Mn", "Mo"],
  "frac_coords": [[0.000, 0.000, 0.000], [0.000, 0.000, 0.500], [0.000, 0.500, 0.000], [0.500, 0.000, 0.000], [0.500, 0.500, 0.500]]
}

No. 5
{
  "formula": "Ti2BiW",
  "functional": "PBE",
  "state": "relaxed",
  "e_form_ev_per_atom": 0.01,
  "cell": [[3.462, 0.000, 0.000], [0.000, 3.462, 0.000], [0.000, 0.000, 6.135]],
  "species": ["Ti", "Ti", "Bi", "W"],
  "frac_coords": [[0.000, 0.000, 0.225], [0.000, 0.000, 0.775], [0.500, 0.500, 0.500], [0.500, 0.500, 0.000]]
}

No. 6
{
  "formula": "ZrTiCoMo",
  "functional": "PBE",
  "state": "relaxed",
  "e_form_ev_per_atom": -0.16,
  "cell": [[0.000, 3.168, 3.168], [3.168, 0.000, 3.168], [3.168, 3.168, 0.000]],
  "species": ["Zr", "Ti", "Co", "Mo"],
  "frac_coords": [[0.000, 0.000, 0.000], [0.500, 0.500, 0.500], [0.750, 0.750, 0.750], [0.250, 0.250, 0.250]]
}

No. 7
{
  "formula": "Mn3SbW",
  "functional": "PBE",
  "state": "relaxed",
  "raw_formation_energy_ev_per_atom": 1.216,
  "relative_energy_ev_per_atom": 0.000,
  "cell": [[4.656, 0.000, 0.000], [0.000, 4.656, 0.000], [0.000, 0.000, 4.656]],
  "species": ["Mn", "Mn", "Mn", "Sb", "W"],
  "frac_coords": [[0.000, 0.000, 0.500], [0.000, 0.500, 0.000], [0.500, 0.000, 0.000], [0.500, 0.500, 0.500], [0.000, 0.000, 0.000]]
}

No. 8
{
  "formula": "ZrZnCoPd",
  "functional": "PBE",
  "state": "relaxed",
  "e_form_ev_per_atom": -0.40,
  "cell": [[0.000, 3.135, 3.135], [3.135, 0.000, 3.135], [3.135, 3.135, 0.000]],
  "species": ["Zr", "Zn", "Co", "Pd"],
  "frac_coords": [[0.000, 0.000, 0.000], [0.500, 0.500, 0.500], [0.250, 0.250, 0.250], [0.750, 0.750, 0.750]]
}

No. 9
{
  "formula": "AlHSe2",
  "functional": "PBE",
  "state": "relaxed",
  "relative_energy_ev_per_atom": 0.026,
  "cell": [[6.223, 0.000, 0.000], [0.082, 6.236, 0.000], [2.400, 3.086, 5.440]],
  "species": ["Al", "Al", "H", "H", "Se", "Se", "Se", "Se"],
  "frac_coords": [[0.000, 0.233, 0.000], [0.000, 0.767, 0.000], [0.264, 0.711, 0.570], [0.736, 0.289, 0.430], [0.066, 0.859, 0.280], [0.320, 0.598, 0.796], [0.680, 0.402, 0.204], [0.934, 0.141, 0.720]]
}

No. 10
{
  "formula": "BeMoPd",
  "functional": "PBE",
  "state": "relaxed",
  "e_form_ev_per_atom": -0.15,
  "relative_energy_ev_per_atom": 0.087,
  "cell": [[2.753, 0.000, 0.000], [0.000, 4.090, 0.000], [-0.608, 0.000, 7.038]],
  "species": ["Be", "Be", "Mo", "Mo", "Pd", "Pd"],
  "frac_coords": [[0.000, 0.000, 0.000], [0.062, 0.500, 0.209], [0.563, 0.000, 0.317], [0.880, 0.500, 0.532], [0.419, 0.000, 0.706], [0.499, 0.500, 0.955]]
}

No. 11
{
  "formula": "Sr2NiSe",
  "functional": "PBE",
  "state": "relaxed",
  "raw_formation_energy_ev_per_atom": -0.791,
  "cell": [[5.756, -2.065, 0.000], [5.756, 2.065, 0.000], [-0.194, 0.000, 4.564]],
  "species": ["Sr", "Sr", "Ni", "Se"],
  "frac_coords": [[0.000, 0.000, 0.000], [0.728, 0.728, 0.521], [0.278, 0.278, 0.048], [0.444, 0.444, 0.485]]
}

No. 12
{
  "formula": "BW2Se",
  "functional": "PBE",
  "state": "relaxed",
  "raw_formation_energy_ev_per_atom": 0.237,
  "relative_energy_ev_per_atom": 0.362,
  "cell": [[-1.593, 3.250, 2.711], [1.593, -3.250, 2.711], [1.593, 3.250, -2.711]],
  "species": ["B", "W", "W", "Se"],
  "frac_coords": [[0.000, 0.000, 0.000], [0.066, 0.339, 0.727], [0.612, 0.339, 0.273], [0.475, 0.975, 0.500]]
}